1.
Entry from Alexandria: crystalline TiGa2Fe at its relaxed geometry (PBE).

Cell: 4.3051 4.3051 4.3051 Å, 60.00 60.00 60.00°
Closest atoms and distances in Å follow each position.
Fractional positions:
1 Fe 0.5000 0.5000 0.5000  8 Ga 2.64
2 Ga 0.2500 0.2500 0.2500  4 Fe 2.64, 4 Ti 2.64
3 Ga 0.7500 0.7500 0.7500  4 Fe 2.64, 4 Ti 2.64
4 Ti 0.0000 0.0000 0.0000  8 Ga 2.64

Values from the calculation:
DOS(E_F): 0.558 states/eV per atom
formation energy from the elements: -16.8 kJ per mole of atoms
calculated volume: 14.11 Å³ per atom

2.
Entry from Alexandria: crystalline Nb2CrGaSe at its relaxed geometry (PBE).

Cell: 4.7673 4.3405 4.7673 Å, 90.00 90.00 90.00°
Closest atoms and distances in Å follow each position.
Fractional positions:
1 Cr 0.0000 0.0000 0.0000  2 Se 2.17, 4 Nb 2.38
2 Nb 0.0000 0.0000 0.5000  2 Cr 2.38
3 Nb 0.5000 0.0000 0.0000  2 Cr 2.38
4 Ga 0.5000 0.5000 0.5000  8 Nb 3.22, 4 Se 3.37
5 Se 0.0000 0.5000 0.0000  2 Cr 2.17

Values from the calculation:
DOS(E_F): 0.888 states/eV per atom
calculated volume: 19.73 Å³ per atom
energy relative to the elements, uncorrected: 0.71 eV/atom

3.
Entry from Alexandria: crystalline Al2SbRh at its relaxed geometry (PBE).

Cell: 5.8508 5.8508 7.2446 Å, 66.18 66.18 90.00°
Closest atoms and distances in Å follow each position.
Fractional positions:
1 Sb 0.0000 0.0000 0.0000  4 Al 2.71
2 Sb 0.7500 0.2500 0.5000  4 Al 2.71
3 Rh 0.5000 0.5000 0.0000  4 Al 2.40
4 Rh 0.2500 0.7500 0.5000  4 Al 2.40
5 Al 0.5786 0.1250 0.2500  2 Rh 2.40
6 Al 0.1714 0.6250 0.2500  2 Rh 2.40
7 Al 0.3750 0.4214 0.7500  2 Rh 2.40
8 Al 0.8750 0.8286 0.7500  2 Rh 2.40

Values from the calculation:
DOS(E_F): 0.000 states/eV per atom
calculated volume: 25.45 Å³ per atom
energy relative to the elements, uncorrected: 0.08 eV/atom

Question: Which value of DOS(E_F) does entry 1 give?
Answer: 0.558 states/eV per atom